[1]
VASP calculation (PBE) on a relaxed structure of BeAuS2N.

```
BeAuS2N
1.0
4.8514 0.0000 0.0000
0.0000 4.8514 0.0000
0.0000 0.0000 3.0536
Au S N Be
1 2 1 1
Cartesian
2.4257 2.4257 1.5268 Au
2.4257 0.0000 0.0000 S
0.0000 2.4257 0.0000 S
0.0000 0.0000 1.5268 N
0.0000 0.0000 0.0000 Be
```

Output
* ΔE to the lowest computed polymorph: 0 meV/atom
* formation energy without anion corrections: 739.8 meV per atom
* E_tot: -3.98 eV per atom

[2]
VASP calculation (PBE) on a relaxed structure of PmYGaAg.

```
PmYGaAg
1.0
5.1896 0.0000 0.0000
2.5948 4.4943 0.0000
2.5948 1.4981 4.2373
Pm Ga Y Ag
1 1 1 1
Cartesian
2.5948 1.4981 1.0593 Pm
5.1896 2.9962 2.1186 Ga
7.7844 4.4943 3.1780 Y
0.0000 0.0000 0.0000 Ag
```

Output
* formation energy: -1.79 eV/f.u.
* E_tot: -4.72 eV per atom

Number 1: DOS(E_F) 5.898 states/eV per cell. Number 2: DOS(E_F) 3.661 states/eV per cell.